## BaBiP2Cl (PBEsol)

Data for BaBiP2Cl after structural relaxation.

Results
symmetry	No. 123
total energy	-3.3577	eV/atom
formation energy from raw total energies	0.647	eV per atom
M_tot	0.00	μB/f.u.

a b c (Å): 5.4448 5.5621 5.5621
angles (deg): 90.00 90.00 90.00
Closest atoms and distances in Å follow each position.
Sites, in units of the cell vectors:
P  0.0000  0.0000  0.5000  2 Ba 2.78
P  0.0000  0.5000  0.0000  2 Ba 2.78
Cl  0.5000  0.0000  0.0000  2 Ba 2.72
Ba  0.0000  0.0000  0.0000  2 Cl 2.72, 4 P 2.78
Bi  0.5000  0.5000  0.5000  8 P 3.89, 4 Cl 3.93